K2NaAu: relaxed, PBEsol.

Values from the calculation:
DOS at the Fermi energy, states/eV/atom: 0.38
SG: I-42d, No. 122
Relative energy among the computed polymorphs, eV/f.u.: 0.036
Spin magnetization, Bohr magnetons per cell: 0.0
E, eV/atom: -1.91

Lattice parameters (Å, degrees): 5.782 8.594 8.594 83.50 70.35 70.35
Atoms (fractional coordinates):
Au 0.000 0.000 0.000
K 0.875 0.360 0.140
K 0.985 0.140 0.640
Na 0.250 0.500 0.500
K 0.765 0.860 0.360
K 0.375 0.640 0.860
Na 0.500 0.000 0.000
Au 0.750 0.500 0.500